# 1
Compound: Pm6Pr2Er3Tl
Source: Alexandria via LeMat-Bulk
Functional: PBE-GGA
Structure: relaxed

Results
For the total magnetic moment, the calculation gives 0.00 μB/f.u. The calculated total energy comes out at -54.47 eV/cell. The calculated volume comes out at 32.51 Å³ per atom. The value obtained for the energy of formation from the pure elements is -0.7 kcal/mol of atoms.

```
data_Pm6Pr2Er3Tl
_chemical_formula_sum 'Pm6 Pr2 Er3 Tl1'
_cell_length_a 6.2028
_cell_length_b 6.2028
_cell_length_c 11.9006
_cell_angle_alpha 94.99
_cell_angle_beta 94.99
_cell_angle_gamma 120.08
_symmetry_space_group_name_H-M 'P 1'
_symmetry_Int_Tables_number 1
loop_
_symmetry_equiv_pos_as_xyz
'x,y,z'
loop_
_atom_site_label
_atom_site_fract_x
_atom_site_fract_y
_atom_site_fract_z
Pm1 0.4106 0.0842 0.2531
Er1 0.8331 0.1669 0.5000
Pr1 0.6663 0.3337 0.0000
Pm2 0.9158 0.5894 0.7469
Pm3 0.0842 0.4106 0.2531
Pm4 0.7580 0.7580 0.2539
Er2 0.5000 0.5000 0.5000
Pr2 0.3337 0.6663 0.0000
Er3 0.1669 0.8331 0.5000
Tl1 0.0000 0.0000 0.0000
Pm5 0.2420 0.2420 0.7461
Pm6 0.5894 0.9158 0.7469
```

=====

# 2
Compound: GdTmTlNi
Source: Alexandria via LeMat-Bulk
Functional: PBE-GGA
Structure: relaxed

Results
For the total magnetic moment, the calculation gives 7.21 μB/f.u. The calculated total energy comes out at -27.68 eV/cell. The calculated volume comes out at 23.58 Å³ per atom. The value obtained for the energy of formation from the pure elements is -5.7 kcal/mol of atoms.

```
data_GdTmTlNi
_chemical_formula_sum 'Gd1 Tm1 Tl1 Ni1'
_cell_length_a 5.1094
_cell_length_b 5.1094
_cell_length_c 5.1094
_cell_angle_alpha 60.00
_cell_angle_beta 60.00
_cell_angle_gamma 60.00
_symmetry_space_group_name_H-M 'P 1'
_symmetry_Int_Tables_number 1
loop_
_symmetry_equiv_pos_as_xyz
'x,y,z'
loop_
_atom_site_label
_atom_site_fract_x
_atom_site_fract_y
_atom_site_fract_z
Ni1 0.2500 0.2500 0.2500
Gd1 0.0000 0.0000 0.0000
Tl1 0.7500 0.7500 0.7500
Tm1 0.5000 0.5000 0.5000
```

=====

# 3
Compound: NdDy2Er5
Source: Alexandria via LeMat-Bulk
Functional: PBE-GGA
Structure: relaxed

Results
For the total magnetic moment, the calculation gives 0.00 μB/f.u. The calculated total energy comes out at -73.46 eV/cell. The calculated volume comes out at 31.73 Å³ per atom. The value obtained for the energy of formation from the pure elements is 0.2 kcal/mol of atoms.

```
data_NdDy2Er5
_chemical_formula_sum 'Nd2 Dy4 Er10'
_cell_length_a 6.6832
_cell_length_b 13.3653
_cell_length_c 9.1474
_cell_angle_alpha 107.73
_cell_angle_beta 43.12
_cell_angle_gamma 114.64
_symmetry_space_group_name_H-M 'P 1'
_symmetry_Int_Tables_number 1
loop_
_symmetry_equiv_pos_as_xyz
'x,y,z'
loop_
_atom_site_label
_atom_site_fract_x
_atom_site_fract_y
_atom_site_fract_z
Er1 0.5446 0.8149 0.3324
Er2 0.5394 0.3104 0.3354
Dy1 0.7100 0.5631 0.1671
Dy2 0.2900 0.4369 0.8329
Er3 0.4554 0.1851 0.6676
Er4 0.4606 0.6896 0.6646
Er5 0.9575 0.9385 0.6660
Nd1 0.2075 0.3113 0.1676
Er6 0.7064 0.0609 0.1678
Dy3 0.0385 0.5641 0.3348
Er7 0.2075 0.8149 0.1663
Dy4 0.9615 0.4359 0.6652
Er8 0.2936 0.9391 0.8322
Er9 0.7925 0.1851 0.8337
Nd2 0.7925 0.6887 0.8324
Er10 0.0425 0.0615 0.3340
```

=====

# 4
Compound: K4SbSe
Source: Alexandria via LeMat-Bulk
Functional: PBE-GGA
Structure: relaxed

Results
For the total magnetic moment, the calculation gives 1.10 μB/f.u. The calculated total energy comes out at -11.92 eV/cell. The calculated volume comes out at 36.01 Å³ per atom. The calculation puts the formation energy (no corrections) at 0.012 eV/atom.

```
data_K4SbSe
_chemical_formula_sum 'K4 Sb1 Se1'
_cell_length_a 6.7354
_cell_length_b 6.7354
_cell_length_c 6.7354
_cell_angle_alpha 60.00
_cell_angle_beta 60.00
_cell_angle_gamma 60.00
_symmetry_space_group_name_H-M 'P 1'
_symmetry_Int_Tables_number 1
loop_
_symmetry_equiv_pos_as_xyz
'x,y,z'
loop_
_atom_site_label
_atom_site_fract_x
_atom_site_fract_y
_atom_site_fract_z
Se1 0.0000 0.0000 0.0000
K1 0.3741 0.8777 0.3741
K2 0.3741 0.3741 0.3741
Sb1 0.7500 0.7500 0.7500
K3 0.3741 0.3741 0.8777
K4 0.8777 0.3741 0.3741
```

=====

# 5
Compound: Tm6C2S3N
Source: Alexandria via LeMat-Bulk
Functional: PBE-GGA
Structure: relaxed

Results
For the total magnetic moment, the calculation gives 0.00 μB/f.u. The calculated total energy comes out at -84.54 eV/cell. The calculated volume comes out at 17.61 Å³ per atom. The calculation puts the formation energy (no corrections) at -1.546 eV/atom.

```
data_Tm6C2S3N
_chemical_formula_sum 'Tm6 C2 S3 N1'
_cell_length_a 6.2693
_cell_length_b 6.2693
_cell_length_c 6.5476
_cell_angle_alpha 99.19
_cell_angle_beta 99.19
_cell_angle_gamma 119.97
_symmetry_space_group_name_H-M 'P 1'
_symmetry_Int_Tables_number 1
loop_
_symmetry_equiv_pos_as_xyz
'x,y,z'
loop_
_atom_site_label
_atom_site_fract_x
_atom_site_fract_y
_atom_site_fract_z
N1 0.0000 0.0000 0.0000
C1 0.3332 0.6668 0.0000
S1 0.8333 0.1667 0.5000
S2 0.1667 0.8333 0.5000
S3 0.5000 0.5000 0.5000
Tm1 0.4035 0.0702 0.2104
Tm2 0.7367 0.7367 0.2109
Tm3 0.9298 0.5965 0.7896
Tm4 0.5965 0.9298 0.7896
Tm5 0.0702 0.4035 0.2104
C2 0.6668 0.3332 0.0000
Tm6 0.2633 0.2633 0.7891
```

=====

# 6
Compound: LuZrRh
Source: Alexandria via LeMat-Bulk
Functional: PBE-GGA
Structure: relaxed

Results
For the total magnetic moment, the calculation gives 0.00 μB/f.u. The calculated total energy comes out at -21.80 eV/cell. The value obtained for the offset from the most stable computed form is 56 meV per atom. The calculated volume comes out at 23.35 Å³ per atom. The value obtained for the energy of formation from the pure elements is -10.6 kcal/mol of atoms.

```
data_LuZrRh
_chemical_formula_sum 'Lu1 Zr1 Rh1'
_cell_length_a 4.6273
_cell_length_b 4.6273
_cell_length_c 4.6273
_cell_angle_alpha 60.00
_cell_angle_beta 60.00
_cell_angle_gamma 60.00
_symmetry_space_group_name_H-M 'P 1'
_symmetry_Int_Tables_number 1
loop_
_symmetry_equiv_pos_as_xyz
'x,y,z'
loop_
_atom_site_label
_atom_site_fract_x
_atom_site_fract_y
_atom_site_fract_z
Lu1 0.0000 0.0000 0.0000
Zr1 0.5000 0.5000 0.5000
Rh1 0.2500 0.2500 0.2500
```

=====

Look up the total magnetic moment of the third one.
0.00 μB/f.u.